Entry 1:
GdYMgIn: relaxed, PBE.

Values from the calculation:
The total DFT energy (no corrections) is -105.01 eV/cell. For the density of states at the Fermi level, the calculation gives 18.30 states/eV/cell. The value obtained for the calculated formation energy is -0.34 eV per atom. The calculation puts the volume at 26.95 A^3/atom.

Cell: 7.5547 7.5547 7.5547 Å, 90.00 90.00 90.00°
Space group F-43m (No. 216)
Asymmetric unit:
Gd: 0.0000 0.0000 0.0000 [4 per cell]
Y: 0.0000 0.0000 0.5000 [4 per cell]
Mg: 0.2500 0.2500 0.7500 [4 per cell]
In: 0.2500 0.2500 0.2500 [4 per cell]

---

Entry 2:
CaTcMo2Ru: relaxed, PBE.

Values from the calculation:
The total DFT energy (no corrections) is -34.78 eV/cell. For the density of states at the Fermi level, the calculation gives 10.31 states/eV/cell. The value obtained for the calculated formation energy is 1.71 eV per atom. The calculation puts the volume at 21.78 A^3/atom.

Cell: 4.6383 4.6383 5.0629 Å, 90.00 90.00 90.00°
Space group P4/mmm (No. 123)
Asymmetric unit:
Ca: 0.0000 0.0000 0.0000 [1 per cell]
Tc: 0.0000 0.0000 0.5000 [1 per cell]
Mo: 0.0000 0.5000 0.5000 [2 per cell]
Ru: 0.5000 0.5000 0.0000 [1 per cell]

---

Entry 3:
LiCe2Pa: relaxed, PBE.

Values from the calculation:
The total DFT energy (no corrections) is -22.79 eV/cell. For the density of states at the Fermi level, the calculation gives 9.23 states/eV/cell. The value obtained for the calculated formation energy is 0.12 eV per atom. The energy above the most stable polymorph in this dataset comes out at 0 meV/atom. The calculation puts the volume at 25.02 A^3/atom.

Cell: 3.1268 3.1268 10.2350 Å, 90.00 90.00 90.00°
Space group P4/mmm (No. 123)
Asymmetric unit:
Li: 0.0000 0.0000 0.0000 [1 per cell]
Ce: 0.5000 0.5000 0.2578 [2 per cell]
Pa: 0.0000 0.0000 0.5000 [1 per cell]

---

Entry 4:
ErMgBePd: relaxed, PBE.

Values from the calculation:
The total DFT energy (no corrections) is -65.13 eV/cell. For the density of states at the Fermi level, the calculation gives 12.74 states/eV/cell. The value obtained for the calculated formation energy is -0.30 eV per atom. The calculation puts the volume at 18.08 A^3/atom.

Cell: 6.6138 6.6138 6.6138 Å, 90.00 90.00 90.00°
Space group F-43m (No. 216)
Asymmetric unit:
Er: 0.0000 0.0000 0.0000 [4 per cell]
Mg: 0.0000 0.0000 0.5000 [4 per cell]
Be: 0.2500 0.2500 0.2500 [4 per cell]
Pd: 0.2500 0.2500 0.7500 [4 per cell]

---

Entry 5:
La4Pm3UN8: relaxed, PBE.

Values from the calculation:
The total DFT energy (no corrections) is -402.65 eV/cell. For the density of states at the Fermi level, the calculation gives 21.26 states/eV/cell. The uncorrected formation energy comes out at -134.9 kJ per mole of atoms. The calculation puts the volume at 17.08 A^3/atom.

Cell: 7.2494 7.2494 18.0087 Å, 90.00 90.00 120.00°
Space group R-3m (No. 166, hexagonal axes)
Asymmetric unit:
La: 0.0000 0.0000 0.0000 [3 per cell]
La: 0.0000 0.5000 0.0000 [9 per cell]
Pm: 0.0000 0.5000 0.5000 [9 per cell]
U: 0.0000 0.0000 0.5000 [3 per cell]
N: 0.0000 0.0000 0.2476 [6 per cell]
N: 0.0311 0.5156 0.2393 [18 per cell]

---

Entry 6:
Sr3Hg2Rh: relaxed, PBE.

Values from the calculation:
The total DFT energy (no corrections) is -62.93 eV/cell. For the density of states at the Fermi level, the calculation gives 12.12 states/eV/cell. The value obtained for the calculated formation energy is -0.46 eV per atom. The calculation puts the volume at 32.07 A^3/atom.

Cell: 12.9652 4.5757 12.9753 Å, 90.00 90.00 90.00°
Space group Pnma (No. 62)
Asymmetric unit:
Sr: 0.0517 0.2500 0.1283 [4 per cell]
Sr: 0.1144 0.7500 0.5486 [4 per cell]
Sr: 0.2296 0.2500 0.7946 [4 per cell]
Hg: 0.0123 0.7500 0.3103 [4 per cell]
Hg: 0.1951 0.7500 0.9934 [4 per cell]
Rh: 0.1255 0.2500 0.3717 [4 per cell]

---

Entry 7:
RbNpSn2I8: relaxed, PBE.

Values from the calculation:
The total DFT energy (no corrections) is -43.27 eV/cell. For the density of states at the Fermi level, the calculation gives 4.45 states/eV/cell. The uncorrected formation energy comes out at -72.0 kJ per mole of atoms. The calculation puts the volume at 47.37 A^3/atom.

Cell: 7.4652 7.8290 9.7289 Å, 89.88 89.87 88.90°
Space group P-1 (No. 2)
Asymmetric unit:
Rb: 0.0000 0.0000 0.0000 [1 per cell]
Np: 0.0000 0.0000 0.5000 [1 per cell]
Sn: 0.4998 0.5000 0.2487 [2 per cell]
I: 0.2419 0.3265 0.4997 [2 per cell]
I: 0.2573 0.8421 0.7187 [2 per cell]
I: 0.2579 0.8427 0.2810 [2 per cell]
I: 0.2699 0.3780 0.0011 [2 per cell]

---

Entry 8:
LaCeEr: relaxed, PBE.

Values from the calculation:
The total DFT energy (no corrections) is -29.46 eV/cell. For the density of states at the Fermi level, the calculation gives 15.24 states/eV/cell. The value obtained for the calculated formation energy is 0.23 eV per atom. The energy above the most stable polymorph in this dataset comes out at 176 meV/atom. The calculation puts the volume at 31.53 A^3/atom.

Cell: 6.5426 3.3982 8.5080 Å, 90.00 90.00 90.00°
Space group Pmma (No. 51)
Asymmetric unit:
La: 0.2500 0.0000 0.1577 [2 per cell]
Ce: 0.2500 0.5000 0.8420 [2 per cell]
Er: 0.0000 0.5000 0.5000 [2 per cell]

---

Entry 9:
Tm12TcBi6: relaxed, PBE.

Values from the calculation:
The total DFT energy (no corrections) is -282.75 eV/cell. For the density of states at the Fermi level, the calculation gives 34.05 states/eV/cell. The value obtained for the calculated formation energy is -0.37 eV per atom. The calculation puts the volume at 31.40 A^3/atom.

Cell: 13.0856 13.0856 12.0682 Å, 90.00 90.00 120.00°
Space group R-3 (No. 148, hexagonal axes)
Asymmetric unit:
Tm: 0.0257 0.8481 0.3841 [18 per cell]
Tm: 0.0669 0.8790 0.8774 [18 per cell]
Tc: 0.0000 0.0000 0.0000 [3 per cell]
Bi: 0.0402 0.7502 0.6354 [18 per cell]

---

Entry 10:
Al3AgPd12: relaxed, PBE.

Values from the calculation:
The total DFT energy (no corrections) is -83.61 eV/cell. For the density of states at the Fermi level, the calculation gives 18.20 states/eV/cell. The value obtained for the calculated formation energy is -0.45 eV per atom. The calculation puts the volume at 15.17 A^3/atom.

Cell: 3.9419 3.9419 15.6217 Å, 90.00 90.00 90.00°
Space group P4/mmm (No. 123)
Asymmetric unit:
Al: 0.0000 0.0000 0.0000 [1 per cell]
Al: 0.0000 0.0000 0.2473 [2 per cell]
Ag: 0.0000 0.0000 0.5000 [1 per cell]
Pd: 0.0000 0.5000 0.1236 [4 per cell]
Pd: 0.0000 0.5000 0.3679 [4 per cell]
Pd: 0.5000 0.5000 0.0000 [1 per cell]
Pd: 0.5000 0.5000 0.2463 [2 per cell]
Pd: 0.5000 0.5000 0.5000 [1 per cell]

---

Entry 11:
Ac3La6In: relaxed, PBE.

Values from the calculation:
The total DFT energy (no corrections) is -86.40 eV/cell. For the density of states at the Fermi level, the calculation gives 31.03 states/eV/cell. The value obtained for the calculated formation energy is 0.14 eV per atom. The calculation puts the volume at 40.91 A^3/atom.

Cell: 11.2825 5.5430 13.0857 Å, 90.00 91.17 90.00°
Space group P2_1/m (No. 11)
Asymmetric unit:
Ac: 0.1174 0.2500 0.3033 [2 per cell]
Ac: 0.3453 0.7500 0.3070 [2 per cell]
Ac: 0.3701 0.7500 0.0075 [2 per cell]
La: 0.1184 0.7500 0.5061 [2 per cell]
La: 0.1217 0.2500 0.7009 [2 per cell]
La: 0.1269 0.2500 0.0056 [2 per cell]
La: 0.3517 0.7500 0.6996 [2 per cell]
La: 0.3705 0.2500 0.4926 [2 per cell]
La: 0.4209 0.2500 0.1800 [2 per cell]
In: 0.1227 0.7500 0.8582 [2 per cell]

---

Entry 12:
CoTe2H: relaxed, PBE.

Values from the calculation:
The total DFT energy (no corrections) is -61.64 eV/cell. For the density of states at the Fermi level, the calculation gives 10.25 states/eV/cell. The energy above the most stable polymorph in this dataset comes out at 299 meV/atom. The calculation puts the volume at 20.49 A^3/atom.

Cell: 5.5246 5.5246 10.7402 Å, 90.00 90.00 90.00°
Space group I-42d (No. 122)
Asymmetric unit:
Co: 0.0000 0.0000 0.0000 [4 per cell]
Te: 0.2395 0.2500 0.6250 [8 per cell]
H: 0.0000 0.0000 0.5000 [4 per cell]

---

Question: Which value of volume does entry 8 give?
Answer: 31.53 A^3/atom

---

Question: The lowest volume belongs to which entry?
Answer: Al3AgPd12